No. 1
# AcLaNdMg (PBE, relaxed)
data_AcLaNdMg
_cell_length_a 5.849
_cell_length_b 5.849
_cell_length_c 5.849
_cell_angle_alpha 60.00
_cell_angle_beta 60.00
_cell_angle_gamma 60.00
_symmetry_space_group_name_H-M 'P 1'
_symmetry_Int_Tables_number 1
_symmetry_space_group_name_Hall 'P 1'
loop_
_atom_site_label
_atom_site_type_symbol
_atom_site_fract_x
_atom_site_fract_y
_atom_site_fract_z
Ac1 Ac 0.500 0.500 0.500
Nd1 Nd 0.250 0.250 0.250
Mg1 Mg 0.000 0.000 0.000
La1 La 0.750 0.750 0.750
# Polymorph energy (0 for the lowest one)   0.119 eV/atom
# Raw total energy   -3.775 eV per atom
# Formation energy   75 meV per atom
# DOS(E_F)   5.60 states/eV/f.u.

No. 2
# AcLaMgOs (PBE, relaxed)
data_AcLaMgOs
_cell_length_a 5.340
_cell_length_b 5.340
_cell_length_c 5.340
_cell_angle_alpha 60.00
_cell_angle_beta 60.00
_cell_angle_gamma 60.00
_symmetry_space_group_name_H-M 'P 1'
_symmetry_Int_Tables_number 1
_symmetry_space_group_name_Hall 'P 1'
loop_
_atom_site_label
_atom_site_type_symbol
_atom_site_fract_x
_atom_site_fract_y
_atom_site_fract_z
Ac1 Ac 0.250 0.250 0.250
Os1 Os 0.500 0.500 0.500
Mg1 Mg 0.000 0.000 0.000
La1 La 0.750 0.750 0.750
# Raw total energy   -5.345 eV per atom
# Formation energy   120 meV per atom
# DOS(E_F)   4.91 states/eV/f.u.